Below is an optimized crystal structure of ThSc4In2, with properties calculated at the GGA-PBE level.

Summary:
**DOS(E_F)**: 1.466 states/eV/atom
**Raw total energy**: -5.199 eV per atom

abc: 7.1381 7.1381 7.1381
angles: 133.95 133.95 67.16
Positions (direct):
Th (0.0000, 0.0000, 0.0000)
Sc (0.0000, 0.5000, 0.5000)
Sc (0.2500, 0.7500, 0.5000)
Sc (0.5000, 0.0000, 0.5000)
Sc (0.7500, 0.2500, 0.5000)
In (0.3684, 0.3684, 0.0000)
In (0.6316, 0.6316, 0.0000)

Below is an optimized crystal structure of ThSc4In, with properties calculated at the GGA-PBE level.

Summary:
**DOS(E_F)**: 1.406 states/eV/atom
**Raw total energy**: -6.045 eV per atom

abc: 3.3568 3.3568 13.4573
angles: 90.00 90.00 90.00
Positions (direct):
Th (0.0000, 0.0000, 0.0000)
Sc (0.0000, 0.0000, 0.3493)
Sc (0.0000, 0.0000, 0.6507)
Sc (0.5000, 0.5000, 0.1806)
Sc (0.5000, 0.5000, 0.8194)
In (0.5000, 0.5000, 0.5000)

Below is an optimized crystal structure of ThSc5In4, with properties calculated at the GGA-PBE level.

Summary:
**DOS(E_F)**: 0.384 states/eV/atom
**Raw total energy**: -5.359 eV per atom

abc: 3.3470 3.3470 21.0684
angles: 90.00 90.00 90.00
Positions (direct):
Th (0.0000, 0.0000, 0.0000)
Sc (0.5000, 0.5000, 0.1125)
Sc (0.5000, 0.5000, 0.3056)
Sc (0.5000, 0.5000, 0.5000)
Sc (0.5000, 0.5000, 0.6944)
Sc (0.5000, 0.5000, 0.8875)
In (0.0000, 0.0000, 0.2084)
In (0.0000, 0.0000, 0.4027)
In (0.0000, 0.0000, 0.5973)
In (0.0000, 0.0000, 0.7916)

Below is an optimized crystal structure of ThSc3In, with properties calculated at the GGA-PBE level.

Summary:
**DOS(E_F)**: 1.631 states/eV/atom
**Raw total energy**: -5.911 eV per atom
**Energy above the lowest structure with this stoichiometry**: 70 meV per atom

abc: 8.9473 8.9473 5.4088
angles: 90.00 90.00 144.80
Positions (direct):
Th (0.1465, 0.8535, 0.7500)
Th (0.8535, 0.1465, 0.2500)
Sc (0.0480, 0.9520, 0.2500)
Sc (0.2510, 0.7490, 0.2500)
Sc (0.4520, 0.5480, 0.2500)
Sc (0.5480, 0.4520, 0.7500)
Sc (0.7490, 0.2510, 0.7500)
Sc (0.9520, 0.0480, 0.7500)
In (0.3529, 0.6471, 0.7500)
In (0.6471, 0.3529, 0.2500)

Question: Which value of raw total energy does entry 3 give?
Answer: -5.359 eV per atom